[1]
YSc3Tc | SCAN | single point on PBEsol structure

Geometry as extended XYZ:
```
5
Lattice="4.999 0.000 0.000 0.000 4.999 0.000 0.000 0.000 4.999" Properties=species:S:1:pos:R:3 pbc="T T T"
Sc 2.499 0.000 0.000
Sc 0.000 0.000 2.499
Sc 0.000 2.499 0.000
Tc 0.000 0.000 0.000
Y 2.499 2.499 2.499
```

Values from the calculation:
As for the theoretical density: 4.28 g cm⁻³. Its formation energy is 0 meV per atom. Its total energy is -21.123 eV per atom. The volume comes out at 124.9 Å³ per cell. As for the space group: Pm-3m, No. 221.

[2]
Ca2As2I | SCAN | single point on PBEsol structure

Geometry as extended XYZ:
```
5
Lattice="-1.104 1.790 -5.095 -4.733 -1.174 3.594 -2.686 4.329 2.103" Properties=species:S:1:pos:R:3 pbc="T T T"
Ca -3.314 0.943 1.049
Ca -5.209 4.002 -0.447
As -2.896 2.439 -1.497
As -5.627 2.506 2.099
I 0.000 0.000 0.000
```

Values from the calculation:
As for the theoretical density: 4.21 g cm⁻³. For the formation energy without anion corrections, the calculation gives -1.02 eV/atom. Its total energy is -20.314 eV per atom. The volume comes out at 140.9 Å³ per cell. As for the space group: I4/mmm, No. 139.

[3]
Fe3Co5 | SCAN | single point on PBEsol structure

Geometry as extended XYZ:
```
8
Lattice="2.771 0.000 0.000 1.386 4.360 0.003 1.386 1.016 7.129" Properties=species:S:1:pos:R:3 pbc="T T T"
Co 1.386 1.829 5.338
Co 1.386 0.000 0.000
Co 2.771 3.599 6.232
Co 4.157 3.547 1.794
Co 2.771 1.776 0.899
Fe 2.771 2.688 3.566
Fe 4.157 4.443 4.473
Fe 1.386 0.933 2.658
```

Values from the calculation:
As for the theoretical density: 8.91 g cm⁻³. Its formation energy is -92 meV per atom. Its total energy is -17.706 eV per atom. The volume comes out at 86.1 Å³ per cell. As for the space group: C2/m, No. 12.

[4]
PdNF2 | SCAN | single point on PBEsol structure

Geometry as extended XYZ:
```
4
Lattice="-0.804 0.928 -2.329 -2.225 -0.903 -1.080 -4.730 5.176 2.207" Properties=species:S:1:pos:R:3 pbc="T T T"
N 0.000 0.000 0.000
F -3.863 3.971 1.428
F -3.897 1.230 -2.630
Pd -3.880 2.600 -0.601
```

Values from the calculation:
As for the theoretical density: 6.09 g cm⁻³. For the formation energy without anion corrections, the calculation gives 0.78 eV/atom. Its total energy is -11.505 eV per atom. The volume comes out at 43.2 Å³ per cell. As for the space group: R-3m, No. 166.

Going through the records in order, we get DOS(E_F) values of 0.95, 1.04, 0.71, 0.43 states/eV/atom.